A plane-wave DFT calculation with GGA-PBEsol was carried out for a relaxed NaCdInCo2 crystal.

Geometry as CIF:
```
data_NaCdInCo2
_chemical_formula_sum 'Na1 Cd1 In1 Co2'
_cell_length_a 4.7216
_cell_length_b 4.7216
_cell_length_c 5.1671
_cell_angle_alpha 90.00
_cell_angle_beta 90.00
_cell_angle_gamma 90.00
_space_group_name_H-M_alt 'P 4/m m m'
_space_group_IT_number 123
_space_group_name_Hall '-P 4 2'
loop_
_atom_site_label
_atom_site_fract_x
_atom_site_fract_y
_atom_site_fract_z
_atom_site_occupancy
Na1 0.0000 0.0000 0.0000 1
Cd1 0.5000 0.5000 0.0000 1
In1 0.0000 0.0000 0.5000 1
Co1 0.0000 0.5000 0.5000 1
```

Results
total magnetic moment: 2.70 μB/f.u.
E_form: 1.183 eV per atom
uncorrected energy: -3.028 eV per atom

=====

A plane-wave DFT calculation with GGA-PBEsol was carried out for a relaxed Y2C3 crystal.

Geometry as CIF:
```
data_Y2C3
_chemical_formula_sum 'Y16 C24'
_cell_length_a 8.1458
_cell_length_b 8.1458
_cell_length_c 8.1458
_cell_angle_alpha 90.00
_cell_angle_beta 90.00
_cell_angle_gamma 90.00
_space_group_name_H-M_alt 'I -4 3 d'
_space_group_IT_number 220
_space_group_name_Hall 'I -4bd 2c 3'
loop_
_atom_site_label
_atom_site_fract_x
_atom_site_fract_y
_atom_site_fract_z
_atom_site_occupancy
Y1 0.0504 0.4496 0.5504 1
C1 0.0000 0.2500 0.7928 1
```

Results
total magnetic moment: 0.00 μB/f.u.
E_form: -0.326 eV per atom
uncorrected energy: -8.841 eV per atom

=====

A plane-wave DFT calculation with GGA-PBEsol was carried out for a relaxed Li2WF2 crystal.

Geometry as CIF:
```
data_Li2WF2
_chemical_formula_sum 'Li4 W2 F4'
_cell_length_a 3.4261
_cell_length_b 3.4261
_cell_length_c 11.5853
_cell_angle_alpha 90.00
_cell_angle_beta 90.00
_cell_angle_gamma 90.00
_space_group_name_H-M_alt 'I 4/m m m'
_space_group_IT_number 139
_space_group_name_Hall '-I 4 2'
loop_
_atom_site_label
_atom_site_fract_x
_atom_site_fract_y
_atom_site_fract_z
_atom_site_occupancy
Li1 0.0000 0.0000 0.2011 1
W1 0.0000 0.0000 0.5000 1
F1 0.0000 0.5000 0.2500 1
```

Results
total magnetic moment: 3.55 μB/f.u.
formation energy (no corrections): -3.71 eV/f.u.
uncorrected energy: -5.062 eV per atom

=====

A plane-wave DFT calculation with GGA-PBEsol was carried out for a relaxed AlGe3Pb crystal.

Geometry as CIF:
```
data_AlGe3Pb
_chemical_formula_sum 'Al1 Ge3 Pb1'
_cell_length_a 5.3470
_cell_length_b 5.3470
_cell_length_c 5.3470
_cell_angle_alpha 90.00
_cell_angle_beta 90.00
_cell_angle_gamma 90.00
_space_group_name_H-M_alt 'P m -3 m'
_space_group_IT_number 221
_space_group_name_Hall '-P 4 2 3'
loop_
_atom_site_label
_atom_site_fract_x
_atom_site_fract_y
_atom_site_fract_z
_atom_site_occupancy
Al1 0.0000 0.0000 0.0000 1
Ge1 0.0000 0.5000 0.5000 1
Pb1 0.5000 0.5000 0.5000 1
```

Results
total magnetic moment: 0.00 μB/f.u.
E_form: 1.233 eV per atom
uncorrected energy: -3.348 eV per atom

=====

A plane-wave DFT calculation with GGA-PBEsol was carried out for a relaxed SrI2Br crystal.

Geometry as CIF:
```
data_SrI2Br
_chemical_formula_sum 'Sr4 I8 Br4'
_cell_length_a 8.0725
_cell_length_b 8.0725
_cell_length_c 8.0725
_cell_angle_alpha 90.00
_cell_angle_beta 90.00
_cell_angle_gamma 90.00
_space_group_name_H-M_alt 'F m -3 m'
_space_group_IT_number 225
_space_group_name_Hall '-F 4 2 3'
loop_
_atom_site_label
_atom_site_fract_x
_atom_site_fract_y
_atom_site_fract_z
_atom_site_occupancy
Sr1 0.0000 0.0000 0.0000 1
I1 0.2500 0.2500 0.2500 1
Br1 0.0000 0.0000 0.5000 1
```

Results
total magnetic moment: 0.66 μB/f.u.
formation energy (no corrections): -4.10 eV/f.u.
energy above the most stable polymorph in this dataset: 0.037 eV/atom
uncorrected energy: -2.835 eV per atom

=====

A plane-wave DFT calculation with GGA-PBEsol was carried out for a relaxed CdFe2Tc crystal.

Geometry as CIF:
```
data_CdFe2Tc
_chemical_formula_sum 'Cd2 Fe4 Tc2'
_cell_length_a 3.7585
_cell_length_b 3.7585
_cell_length_c 7.6408
_cell_angle_alpha 90.00
_cell_angle_beta 90.00
_cell_angle_gamma 90.00
_space_group_name_H-M_alt 'I -4 m 2'
_space_group_IT_number 119
_space_group_name_Hall 'I -4 -2'
loop_
_atom_site_label
_atom_site_fract_x
_atom_site_fract_y
_atom_site_fract_z
_atom_site_occupancy
Cd1 0.0000 0.0000 0.0000 1
Fe1 0.0000 0.0000 0.5000 1
Fe2 0.0000 0.5000 0.2500 1
Tc1 0.0000 0.5000 0.7500 1
```

Results
total magnetic moment: 4.10 μB/f.u.
E_form: 0.494 eV per atom
uncorrected energy: -7.104 eV per atom

=====

A plane-wave DFT calculation with GGA-PBEsol was carried out for a relaxed TiReSbI2 crystal.

Geometry as CIF:
```
data_TiReSbI2
_chemical_formula_sum 'Ti1 Re1 Sb1 I2'
_cell_length_a 5.3997
_cell_length_b 5.3997
_cell_length_c 5.0416
_cell_angle_alpha 90.00
_cell_angle_beta 90.00
_cell_angle_gamma 90.00
_space_group_name_H-M_alt 'P 4/m m m'
_space_group_IT_number 123
_space_group_name_Hall '-P 4 2'
loop_
_atom_site_label
_atom_site_fract_x
_atom_site_fract_y
_atom_site_fract_z
_atom_site_occupancy
Ti1 0.0000 0.0000 0.0000 1
Re1 0.5000 0.5000 0.5000 1
Sb1 0.5000 0.5000 0.0000 1
I1 0.0000 0.5000 0.5000 1
```

Results
total magnetic moment: 3.42 μB/f.u.
formation energy (no corrections): 5.77 eV/f.u.
uncorrected energy: -4.794 eV per atom

=====

A plane-wave DFT calculation with GGA-PBEsol was carried out for a relaxed Hg2POs crystal.

Geometry as CIF:
```
data_Hg2POs
_chemical_formula_sum 'Hg4 P2 Os2'
_cell_length_a 2.7776
_cell_length_b 5.0293
_cell_length_c 10.1508
_cell_angle_alpha 90.00
_cell_angle_beta 90.00
_cell_angle_gamma 90.00
_space_group_name_H-M_alt 'C m m m'
_space_group_IT_number 65
_space_group_name_Hall '-C 2 2'
loop_
_atom_site_label
_atom_site_fract_x
_atom_site_fract_y
_atom_site_fract_z
_atom_site_occupancy
Hg1 0.0000 0.0000 0.2429 1
P1 0.0000 0.5000 0.5000 1
Os1 0.0000 0.5000 0.0000 1
```

Results
total magnetic moment: 0.00 μB/f.u.
E_form: 0.812 eV per atom
uncorrected energy: -3.974 eV per atom

=====

What did the fifth record say?
A plane-wave DFT calculation with GGA-PBEsol was carried out for a relaxed SrI2Br crystal.

Geometry as CIF:
```
data_SrI2Br
_chemical_formula_sum 'Sr4 I8 Br4'
_cell_length_a 8.0725
_cell_length_b 8.0725
_cell_length_c 8.0725
_cell_angle_alpha 90.00
_cell_angle_beta 90.00
_cell_angle_gamma 90.00
_space_group_name_H-M_alt 'F m -3 m'
_space_group_IT_number 225
_space_group_name_Hall '-F 4 2 3'
loop_
_atom_site_label
_atom_site_fract_x
_atom_site_fract_y
_atom_site_fract_z
_atom_site_occupancy
Sr1 0.0000 0.0000 0.0000 1
I1 0.2500 0.2500 0.2500 1
Br1 0.0000 0.0000 0.5000 1
```

Results
total magnetic moment: 0.66 μB/f.u.
formation energy (no corrections): -4.10 eV/f.u.
energy above the most stable polymorph in this dataset: 0.037 eV/atom
uncorrected energy: -2.835 eV per atom

=====

Q: What is the uncorrected energy in the fourth record?
A: -3.348 eV per atom